No. 1
Compound: BeIrN2O
Source: Alexandria via LeMat-Bulk
Functional: GGA-PBE
Structure: relaxed

E_form (uncorrected) = 1.0042 eV/atom
Total energy = -5.835 eV/atom
Mass density = 9.695 g/cm3

a = 3.4566 Å, b = 3.4566 Å, c = 3.5156 Å
α = 90.00°, β = 90.00°, γ = 90.00°
Closest atoms and distances in Å follow each position.
Sites, in units of the cell vectors:
Be  0.0000  0.0000  0.0000  4 N 1.73, 2 O 1.76
Ir  0.5000  0.5000  0.5000  4 O 2.44, 8 N 2.47
N  0.0000  0.5000  0.0000  2 Be 1.73
N  0.5000  0.0000  0.0000  2 Be 1.73
O  0.0000  0.0000  0.5000  2 Be 1.76



No. 2
Compound: K3TlTe4
Source: Alexandria via LeMat-Bulk
Functional: GGA-PBE
Structure: relaxed

E_form (uncorrected) = -0.6410 eV/atom
Total energy = -2.919 eV/atom
Mass density = 3.895 g/cm3

a = 10.6777 Å, b = 10.6777 Å, c = 10.6777 Å
α = 151.68°, β = 141.93°, γ = 48.12°
Closest atoms and distances in Å follow each position.
Sites, in units of the cell vectors:
K  0.0000  0.0000  0.0000  8 Te 3.86
K  0.2985  0.7985  0.5000  6 Te 3.63-3.64
K  0.7015  0.2015  0.5000  6 Te 3.63-3.64
Tl  0.5000  0.5000  0.0000  4 Te 3.23
Te  0.0758  0.3731  0.7027  1 Te 2.82
Te  0.3296  0.6269  0.7027  1 Te 2.82
Te  0.6704  0.3731  0.2973  1 Te 2.82
Te  0.9242  0.6269  0.2973  1 Te 2.82



No. 3
Compound: Pu3ThAu4
Source: Alexandria via LeMat-Bulk
Functional: GGA-PBE
Structure: relaxed

Total energy = -8.374 eV/atom
Mass density = 14.914 g/cm3

a = 3.3286 Å, b = 5.4170 Å, c = 10.8181 Å
α = 90.00°, β = 90.00°, γ = 90.00°
Closest atoms and distances in Å follow each position.
Sites, in units of the cell vectors:
Pu  0.0000  0.0000  0.0000  8 Au 3.18, 2 Pu 3.33
Pu  0.0000  0.5000  0.2459  8 Au 3.14-3.21, 2 Pu 3.33
Pu  0.0000  0.5000  0.7541  8 Au 3.14-3.21, 2 Pu 3.33
Th  0.0000  0.0000  0.5000  8 Au 3.17-3.18, 2 Th 3.33
Au  0.5000  0.0000  0.2502  2 Th 3.17, 6 Pu 3.18, 2 Au 3.33
Au  0.5000  0.0000  0.7498  2 Th 3.17, 6 Pu 3.18, 2 Au 3.33
Au  0.5000  0.5000  0.0000  8 Pu 3.14-3.18, 2 Au 3.33
Au  0.5000  0.5000  0.5000  4 Th 3.18, 4 Pu 3.21, 2 Au 3.33



No. 4
Compound: Ta3InCl
Source: Alexandria via LeMat-Bulk
Functional: GGA-PBE
Structure: relaxed

E_form (uncorrected) = 2.4287 eV/atom
Total energy = -5.600 eV/atom
Mass density = 8.620 g/cm3
Excess energy over the best structure of this formula in the dataset = 1603.6 meV per atom

a = 5.1111 Å, b = 5.1111 Å, c = 5.1111 Å
α = 90.00°, β = 90.00°, γ = 90.00°
Closest atoms and distances in Å follow each position.
Sites, in units of the cell vectors:
Ta  0.0000  0.0000  0.5000  2 In 2.56
Ta  0.0000  0.5000  0.0000  2 In 2.56
Ta  0.5000  0.0000  0.0000  2 In 2.56
In  0.0000  0.0000  0.0000  6 Ta 2.56
Cl  0.5000  0.5000  0.5000  12 Ta 3.61



No. 5
Compound: Ta3OsCl
Source: Alexandria via LeMat-Bulk
Functional: GGA-PBE
Structure: relaxed

E_form (uncorrected) = 1.2936 eV/atom
Total energy = -8.433 eV/atom
Mass density = 10.749 g/cm3
Excess energy over the best structure of this formula in the dataset = 244.6 meV per atom

a = 4.9150 Å, b = 4.9150 Å, c = 4.9150 Å
α = 90.00°, β = 90.00°, γ = 90.00°
Closest atoms and distances in Å follow each position.
Sites, in units of the cell vectors:
Ta  0.0000  0.0000  0.5000  2 Os 2.46
Ta  0.0000  0.5000  0.0000  2 Os 2.46
Ta  0.5000  0.0000  0.0000  2 Os 2.46
Os  0.0000  0.0000  0.0000  6 Ta 2.46
Cl  0.5000  0.5000  0.5000  12 Ta 3.48



No. 6
Compound: Ce2Ge7Pd12
Source: Alexandria via LeMat-Bulk
Functional: GGA-PBE
Structure: relaxed

Total energy = -5.734 eV/atom
Mass density = 9.519 g/cm3

a = 10.2520 Å, b = 10.2520 Å, c = 3.9591 Å
α = 90.00°, β = 90.00°, γ = 120.00°
Closest atoms and distances in Å follow each position.
Sites, in units of the cell vectors:
Ce  0.3333  0.6667  0.2453  6 Ge 3.15-3.16, 6 Pd 3.26-3.29
Ce  0.6667  0.3333  0.7547  6 Ge 3.15-3.16, 6 Pd 3.26-3.29
Ge  0.0000  0.0000  0.5000  6 Pd 2.51
Ge  0.1193  0.7117  0.7482  7 Pd 2.53-2.61
Ge  0.2883  0.4076  0.7482  7 Pd 2.53-2.61
Ge  0.4076  0.1193  0.2518  7 Pd 2.53-2.61
Ge  0.5924  0.8807  0.7482  7 Pd 2.53-2.61
Ge  0.7117  0.5924  0.2518  7 Pd 2.53-2.61
Ge  0.8807  0.2883  0.2518  7 Pd 2.53-2.61
Pd  0.0581  0.4396  0.7514  4 Ge 2.53-2.61
Pd  0.1116  0.2580  0.2457  4 Ge 2.51-2.61
Pd  0.1465  0.8884  0.2457  4 Ge 2.51-2.61
Pd  0.2580  0.1465  0.7543  4 Ge 2.51-2.61
Pd  0.3815  0.9419  0.7514  4 Ge 2.53-2.61
Pd  0.4396  0.3815  0.2486  4 Ge 2.53-2.61
Pd  0.5604  0.6185  0.7514  4 Ge 2.53-2.61
Pd  0.6185  0.0581  0.2486  4 Ge 2.53-2.61
Pd  0.7420  0.8535  0.2457  4 Ge 2.51-2.61
Pd  0.8535  0.1116  0.7543  4 Ge 2.51-2.61
Pd  0.8884  0.7420  0.7543  4 Ge 2.51-2.61
Pd  0.9419  0.5604  0.2486  4 Ge 2.53-2.61